14
Lattice="-2.595 -4.849 0.834 4.259 -1.665 3.569 -2.258 4.018 4.570" Properties=species:S:1:pos:R:3 comment="NaMnAsO4 PBE+U optimized geometry" sg="P2_1/m, No. 11" e_above_lowest_polymorph_ev_per_atom=0.098 total_magnetization_mub_per_cell=10.000 pbc="T T T"
Na 0.154 -1.568 1.442
O 1.402 0.012 3.259
O -2.169 0.359 5.113
As -2.327 -1.249 4.551
O -1.248 -1.327 3.228
Mn -0.632 0.823 3.495
O 3.340 -0.746 4.883
O -1.996 -2.509 5.715
O 1.575 -2.856 3.860
O 0.654 -1.170 5.745
Na -0.748 -0.928 7.532
O -3.934 -1.751 4.091
Mn 0.038 -3.320 5.478
As 1.733 -1.248 4.422